1.
! Nd3BiAs2Rh9 GGA-PBE relaxed; values from VASP
&SYSTEM
  ibrav = 0, nat = 15, ntyp = 4
/
ATOMIC_SPECIES
Nd 144.24 Nd.upf
Bi 208.98 Bi.upf
As 74.92 As.upf
Rh 102.91 Rh.upf
CELL_PARAMETERS angstrom
6.265 0.000 0.000
-3.133 5.426 0.000
0.000 0.000 9.618
ATOMIC_POSITIONS crystal
Nd 0.000 0.000 0.000
Nd 0.333 0.667 0.737
Nd 0.667 0.333 0.263
Bi 0.000 0.000 0.500
As 0.333 0.667 0.165
As 0.667 0.333 0.835
Rh 0.000 0.500 0.000
Rh 0.144 0.288 0.270
Rh 0.144 0.856 0.270
Rh 0.288 0.144 0.730
Rh 0.500 0.000 0.000
Rh 0.500 0.500 0.000
Rh 0.712 0.856 0.270
Rh 0.856 0.144 0.730
Rh 0.856 0.712 0.730
! - ΔH_f (0 K) (eV/atom) = -0.391
! - symmetry = P-3m1, No. 164
! - crystal system = trigonal

***

2.
! Nd2BiAs3Rh4 GGA-PBE relaxed; values from VASP
&SYSTEM
  ibrav = 0, nat = 10, ntyp = 4
/
ATOMIC_SPECIES
Nd 144.24 Nd.upf
Bi 208.98 Bi.upf
As 74.92 As.upf
Rh 102.91 Rh.upf
CELL_PARAMETERS angstrom
4.201 0.000 0.000
0.000 4.201 0.000
0.000 0.000 11.168
ATOMIC_POSITIONS crystal
Nd 0.000 0.500 0.232
Nd 0.500 0.000 0.768
Bi 0.000 0.000 0.500
As 0.000 0.500 0.872
As 0.500 0.000 0.128
As 0.500 0.500 0.500
Rh 0.000 0.000 0.000
Rh 0.000 0.500 0.658
Rh 0.500 0.000 0.342
Rh 0.500 0.500 0.000
! - ΔH_f (0 K) (eV/atom) = -0.775
! - symmetry = P-4m2, No. 115
! - crystal system = tetragonal

***

3.
! NdBi2As2Rh7 GGA-PBE relaxed; values from VASP
&SYSTEM
  ibrav = 0, nat = 12, ntyp = 4
/
ATOMIC_SPECIES
Nd 144.24 Nd.upf
Bi 208.98 Bi.upf
As 74.92 As.upf
Rh 102.91 Rh.upf
CELL_PARAMETERS angstrom
2.869 -2.862 0.000
2.869 2.862 0.000
-2.027 0.000 14.008
ATOMIC_POSITIONS crystal
Nd 0.000 0.000 0.000
Bi 0.115 0.115 0.391
Bi 0.885 0.885 0.609
As 0.413 0.413 0.751
As 0.587 0.587 0.249
Rh 0.053 0.553 0.155
Rh 0.371 0.371 0.574
Rh 0.447 0.947 0.845
Rh 0.500 0.500 0.000
Rh 0.553 0.053 0.155
Rh 0.629 0.629 0.426
Rh 0.947 0.447 0.845
! - ΔH_f (0 K) (eV/atom) = -0.237
! - symmetry = C2/m, No. 12
! - crystal system = monoclinic

***

4.
! Nd6BiAs3S2 GGA-PBE relaxed; values from VASP
&SYSTEM
  ibrav = 0, nat = 12, ntyp = 4
/
ATOMIC_SPECIES
Nd 144.24 Nd.upf
Bi 208.98 Bi.upf
As 74.92 As.upf
S 32.06 S.upf
CELL_PARAMETERS angstrom
9.302 -2.137 0.000
9.302 2.137 0.000
-1.970 0.000 8.331
ATOMIC_POSITIONS crystal
Nd 0.002 0.002 0.267
Nd 0.326 0.326 0.913
Nd 0.333 0.333 0.416
Nd 0.667 0.667 0.584
Nd 0.674 0.674 0.087
Nd 0.998 0.998 0.733
Bi 0.500 0.500 0.000
As 0.165 0.165 0.831
As 0.500 0.500 0.500
As 0.835 0.835 0.169
S 0.170 0.170 0.338
S 0.830 0.830 0.662
! - symmetry = C2/m, No. 12
! - crystal system = monoclinic
! - final energy (eV/atom) = -6.131

***

5.
! Nd6Bi2SbAs3 GGA-PBE relaxed; values from VASP
&SYSTEM
  ibrav = 0, nat = 12, ntyp = 4
/
ATOMIC_SPECIES
Nd 144.24 Nd.upf
Bi 208.98 Bi.upf
Sb 121.76 Sb.upf
As 74.92 As.upf
CELL_PARAMETERS angstrom
9.677 -2.202 0.000
9.677 2.202 0.000
-2.177 0.000 8.622
ATOMIC_POSITIONS crystal
Nd 0.005 0.005 0.242
Nd 0.330 0.330 0.430
Nd 0.339 0.339 0.904
Nd 0.661 0.661 0.096
Nd 0.670 0.670 0.570
Nd 0.995 0.995 0.758
Bi 0.167 0.167 0.834
Bi 0.833 0.833 0.166
Sb 0.500 0.500 0.500
As 0.167 0.167 0.334
As 0.500 0.500 0.000
As 0.833 0.833 0.666
! - symmetry = C2/m, No. 12
! - crystal system = monoclinic
! - final energy (eV/atom) = -5.788

***

6.
! Nd4BiSb2As GGA-PBE relaxed; values from VASP
&SYSTEM
  ibrav = 0, nat = 8, ntyp = 4
/
ATOMIC_SPECIES
Nd 144.24 Nd.upf
Bi 208.98 Bi.upf
Sb 121.76 Sb.upf
As 74.92 As.upf
CELL_PARAMETERS angstrom
7.761 0.000 0.000
0.000 4.479 0.000
-2.584 0.000 7.343
ATOMIC_POSITIONS crystal
Nd 0.241 0.000 0.238
Nd 0.248 0.500 0.759
Nd 0.752 0.500 0.241
Nd 0.759 0.000 0.762
Bi 0.000 0.000 0.500
Sb 0.500 0.000 0.000
Sb 0.500 0.500 0.500
As 0.000 0.500 0.000
! - symmetry = P2/m, No. 10
! - crystal system = monoclinic
! - final energy (eV/atom) = -5.665

***

7.
! Nd6Bi3SbAs2 GGA-PBE relaxed; values from VASP
&SYSTEM
  ibrav = 0, nat = 12, ntyp = 4
/
ATOMIC_SPECIES
Nd 144.24 Nd.upf
Bi 208.98 Bi.upf
Sb 121.76 Sb.upf
As 74.92 As.upf
CELL_PARAMETERS angstrom
9.784 -2.233 0.000
9.784 2.233 0.000
-2.142 0.000 8.740
ATOMIC_POSITIONS crystal
Nd 0.007 0.007 0.250
Nd 0.328 0.328 0.429
Nd 0.332 0.332 0.901
Nd 0.668 0.668 0.099
Nd 0.672 0.672 0.571
Nd 0.993 0.993 0.750
Bi 0.164 0.164 0.832
Bi 0.500 0.500 0.500
Bi 0.836 0.836 0.168
Sb 0.500 0.500 0.000
As 0.168 0.168 0.335
As 0.832 0.832 0.665
! - symmetry = C2/m, No. 12
! - crystal system = monoclinic
! - final energy (eV/atom) = -5.629

***

8.
! Nd4BiSbAs2 GGA-PBE relaxed; values from VASP
&SYSTEM
  ibrav = 0, nat = 8, ntyp = 4
/
ATOMIC_SPECIES
Nd 144.24 Nd.upf
Bi 208.98 Bi.upf
Sb 121.76 Sb.upf
As 74.92 As.upf
CELL_PARAMETERS angstrom
7.619 0.000 0.000
0.000 4.400 0.000
-2.536 0.000 7.277
ATOMIC_POSITIONS crystal
Nd 0.241 0.000 0.230
Nd 0.254 0.500 0.768
Nd 0.746 0.500 0.232
Nd 0.759 0.000 0.770
Bi 0.500 0.500 0.500
Sb 0.000 0.000 0.500
As 0.000 0.500 0.000
As 0.500 0.000 0.000
! - symmetry = P2/m, No. 10
! - crystal system = monoclinic
! - final energy (eV/atom) = -5.819

***

9.
! Nd2Sc2Bi2As GGA-PBE relaxed; values from VASP
&SYSTEM
  ibrav = 0, nat = 7, ntyp = 4
/
ATOMIC_SPECIES
Nd 144.24 Nd.upf
Sc 44.96 Sc.upf
Bi 208.98 Bi.upf
As 74.92 As.upf
CELL_PARAMETERS angstrom
-2.476 2.476 8.368
2.476 -2.476 8.368
2.476 2.476 -8.368
ATOMIC_POSITIONS crystal
Nd 0.172 0.172 0.000
Nd 0.828 0.828 0.000
Sc 0.000 0.500 0.500
Sc 0.500 0.000 0.500
Bi 0.369 0.369 0.000
Bi 0.631 0.631 0.000
As 0.000 0.000 0.000
! - ΔH_f (0 K) (eV/atom) = -0.803
! - symmetry = I4/mmm, No. 139
! - crystal system = tetragonal

***

10.
! Nd4BiAsSe2 GGA-PBE relaxed; values from VASP
&SYSTEM
  ibrav = 0, nat = 8, ntyp = 4
/
ATOMIC_SPECIES
Nd 144.24 Nd.upf
Bi 208.98 Bi.upf
As 74.92 As.upf
Se 78.96 Se.upf
CELL_PARAMETERS angstrom
7.470 0.000 0.000
0.000 4.342 0.000
-2.537 0.000 7.156
ATOMIC_POSITIONS crystal
Nd 0.241 0.000 0.232
Nd 0.252 0.500 0.764
Nd 0.748 0.500 0.236
Nd 0.759 0.000 0.768
Bi 0.500 0.500 0.500
As 0.500 0.000 0.000
Se 0.000 0.000 0.500
Se 0.000 0.500 0.000
! - symmetry = P2/m, No. 10
! - crystal system = monoclinic
! - final energy (eV/atom) = -5.854

***

11.
! Nd6BiAs3Se2 GGA-PBE relaxed; values from VASP
&SYSTEM
  ibrav = 0, nat = 12, ntyp = 4
/
ATOMIC_SPECIES
Nd 144.24 Nd.upf
Bi 208.98 Bi.upf
As 74.92 As.upf
Se 78.96 Se.upf
CELL_PARAMETERS angstrom
9.435 -2.157 0.000
9.435 2.157 0.000
-2.065 0.000 8.422
ATOMIC_POSITIONS crystal
Nd 0.001 0.001 0.235
Nd 0.327 0.327 0.420
Nd 0.336 0.336 0.910
Nd 0.664 0.664 0.090
Nd 0.673 0.673 0.580
Nd 0.999 0.999 0.765
Bi 0.500 0.500 0.500
As 0.166 0.166 0.331
As 0.500 0.500 0.000
As 0.834 0.834 0.669
Se 0.169 0.169 0.836
Se 0.831 0.831 0.164
! - symmetry = C2/m, No. 12
! - crystal system = monoclinic
! - final energy (eV/atom) = -6.003

***

12.
! Nd4BiAs2Se GGA-PBE relaxed; values from VASP
&SYSTEM
  ibrav = 0, nat = 8, ntyp = 4
/
ATOMIC_SPECIES
Nd 144.24 Nd.upf
Bi 208.98 Bi.upf
As 74.92 As.upf
Se 78.96 Se.upf
CELL_PARAMETERS angstrom
7.513 0.000 0.000
0.000 4.340 0.000
-2.498 0.000 7.153
ATOMIC_POSITIONS crystal
Nd 0.238 0.000 0.232
Nd 0.250 0.500 0.765
Nd 0.750 0.500 0.235
Nd 0.762 0.000 0.768
Bi 0.500 0.500 0.500
As 0.000 0.500 0.000
As 0.500 0.000 0.000
Se 0.000 0.000 0.500
! - symmetry = P2/m, No. 10
! - crystal system = monoclinic
! - final energy (eV/atom) = -5.936